# HgSN2O, optimized geometry, DFT GGA-PBE
data_HgSN2O
_space_group_name_H-M_alt 'P 4/m m m'
_space_group_IT_number 123
_space_group_name_Hall '-P 4 2'
_cell_length_a 4.393
_cell_length_b 4.393
_cell_length_c 4.240
_cell_angle_alpha 90.00
_cell_angle_beta 90.00
_cell_angle_gamma 90.00
loop_
_atom_site_label
_atom_site_type_symbol
_atom_site_fract_x
_atom_site_fract_y
_atom_site_fract_z
Hg1 Hg 0.000 0.000 0.000
S1 S 0.500 0.500 0.500
N1 N 0.000 0.500 0.000
O1 O 0.000 0.000 0.500
# Density = 5.61 g/cm³
# E_form (uncorrected) = 11.9 eV per formula unit
# Total energy = -2.83 eV/atom
# Total moment = 1.685 μB/cell